# ZnCu2Re | Alexandria | GGA-PBE | relaxed
data_ZnCu2Re
_space_group_name_H-M_alt 'P 1'
_space_group_IT_number 1
_cell_length_a 2.615
_cell_length_b 2.615
_cell_length_c 7.762
_cell_angle_alpha 90.00
_cell_angle_beta 90.00
_cell_angle_gamma 90.09
loop_
_space_group_symop_operation_xyz
'x,y,z'
loop_
_atom_site_label
_atom_site_type_symbol
_atom_site_fract_x
_atom_site_fract_y
_atom_site_fract_z
Cu1 Cu 0.500 0.500 0.239
Cu2 Cu 0.000 0.000 0.004
Zn1 Zn 0.500 0.500 0.765
Re1 Re 0.000 0.000 0.492
# Magnetic moment (μB/cell): 0.00
# Offset from the most stable computed form (meV/atom): 26
# ΔH_f (0 K) (eV/f.u.): 0.6
# E_tot (eV per atom): -5.323
# Symmetry: No. 99